# 1
Material: Li2OsPt
Method: DFT, GGA-PBE
State: optimized geometry

Cell and atoms, written as CIF:
```
data_Li2OsPt
_cell_length_a 2.7073
_cell_length_b 4.4039
_cell_length_c 8.9479
_cell_angle_alpha 90.00
_cell_angle_beta 90.00
_cell_angle_gamma 90.00
_symmetry_space_group_name_H-M 'I m m 2'
_symmetry_Int_Tables_number 44
loop_
_symmetry_equiv_pos_as_xyz
'x,y,z'
'-x,-y,z'
'-x,y,z'
'x,-y,z'
'x+1/2,y+1/2,z+1/2'
'-x+1/2,-y+1/2,z+1/2'
'-x+1/2,y+1/2,z+1/2'
'x+1/2,-y+1/2,z+1/2'
loop_
_atom_site_label
_atom_site_type_symbol
_atom_site_fract_x
_atom_site_fract_y
_atom_site_fract_z
Li1 Li 0.0000 0.0000 0.0000
Li2 Li 0.0000 0.5000 0.2569
Os1 Os 0.0000 0.5000 0.7609
Pt1 Pt 0.0000 0.0000 0.5093
```

## Properties
The calculation puts the total magnetic moment at 0.00 μB per formula unit. The crystal system is orthorhombic.


# 2
Material: LiOs2Pt
Method: DFT, GGA-PBE
State: optimized geometry

Cell and atoms, written as CIF:
```
data_LiOs2Pt
_cell_length_a 2.7640
_cell_length_b 4.6047
_cell_length_c 9.2513
_cell_angle_alpha 90.00
_cell_angle_beta 90.00
_cell_angle_gamma 90.00
_symmetry_space_group_name_H-M 'C m m 2'
_symmetry_Int_Tables_number 35
loop_
_symmetry_equiv_pos_as_xyz
'x,y,z'
'-x,-y,z'
'-x,y,z'
'x,-y,z'
'x+1/2,y+1/2,z'
'-x+1/2,-y+1/2,z'
'-x+1/2,y+1/2,z'
'x+1/2,-y+1/2,z'
loop_
_atom_site_label
_atom_site_type_symbol
_atom_site_fract_x
_atom_site_fract_y
_atom_site_fract_z
Li1 Li 0.0000 0.0000 0.0000
Os1 Os 0.0000 0.0000 0.4947
Os2 Os 0.0000 0.5000 0.2548
Pt1 Pt 0.0000 0.5000 0.7648
```

## Properties
The calculation puts the total magnetic moment at 0.00 μB per formula unit. The crystal system is orthorhombic.


# 3
Material: LiOsPt2
Method: DFT, GGA-PBE
State: optimized geometry

Cell and atoms, written as CIF:
```
data_LiOsPt2
_cell_length_a 9.0258
_cell_length_b 2.6824
_cell_length_c 4.8413
_cell_angle_alpha 90.00
_cell_angle_beta 97.03
_cell_angle_gamma 90.00
_symmetry_space_group_name_H-M 'C 1 2/m 1'
_symmetry_Int_Tables_number 12
loop_
_symmetry_equiv_pos_as_xyz
'x,y,z'
'-x,-y,-z'
'-x,y,-z'
'x,-y,z'
'x+1/2,y+1/2,z'
'-x+1/2,-y+1/2,-z'
'-x+1/2,y+1/2,-z'
'x+1/2,-y+1/2,z'
loop_
_atom_site_label
_atom_site_type_symbol
_atom_site_fract_x
_atom_site_fract_y
_atom_site_fract_z
Li1 Li 0.0000 0.0000 0.0000
Os1 Os 0.0000 0.5000 0.5000
Pt1 Pt 0.2435 0.0000 0.7469
```

## Properties
The calculation puts the total magnetic moment at 0.00 μB per formula unit. The crystal system is monoclinic.


Number 1: mass density 12.4 g/cm³, DOS at the Fermi energy 0.663 states/eV/atom, total DFT energy (no corrections) -41.8 eV per cell. Number 2: mass density 16.4 g/cm³, DOS at the Fermi energy 1.166 states/eV/atom, total DFT energy (no corrections) -58.9 eV per cell. Number 3: mass density 16.8 g/cm³, DOS at the Fermi energy 0.951 states/eV/atom, total DFT energy (no corrections) -50.5 eV per cell.